Entry P
A plane-wave DFT calculation with PBE-GGA was carried out for a geometry-optimized Pm5Sm2Er structure.

Geometry as POSCAR:
```
Pm5Sm2Er
1.0
2.819 -5.995 0.000
2.819 5.995 0.000
0.000 0.000 16.335
Pm Sm Er
10 4 2
direct
0.039 0.961 0.750
0.118 0.882 0.052
0.118 0.882 0.448
0.423 0.577 0.092
0.423 0.577 0.408
0.577 0.423 0.592
0.577 0.423 0.908
0.882 0.118 0.552
0.882 0.118 0.948
0.961 0.039 0.250
0.276 0.724 0.631
0.276 0.724 0.869
0.724 0.276 0.131
0.724 0.276 0.369
0.240 0.760 0.250
0.760 0.240 0.750
```


Entry Q
A plane-wave DFT calculation with PBE-GGA was carried out for a geometry-optimized Pm5Sm2Er structure.

Geometry as POSCAR:
```
Pm5Sm2Er
1.0
11.774 0.000 0.000
0.000 6.173 0.000
-5.682 0.000 14.901
Pm Sm Er
20 8 4
direct
0.061 0.030 0.121
0.061 0.470 0.621
0.190 0.107 0.375
0.190 0.393 0.875
0.251 0.622 0.501
0.251 0.878 0.001
0.309 0.109 0.624
0.309 0.391 0.124
0.376 0.569 0.754
0.376 0.931 0.254
0.624 0.069 0.746
0.624 0.431 0.246
0.691 0.609 0.876
0.691 0.891 0.376
0.749 0.122 0.999
0.749 0.378 0.499
0.810 0.607 0.125
0.810 0.893 0.625
0.939 0.530 0.379
0.939 0.970 0.879
0.127 0.571 0.246
0.127 0.929 0.746
0.438 0.030 0.880
0.438 0.470 0.380
0.562 0.530 0.620
0.562 0.970 0.120
0.873 0.071 0.254
0.873 0.429 0.754
0.000 0.000 0.500
0.000 0.500 0.000
0.500 0.000 0.500
0.500 0.500 0.000
```


Relative energies with respect to the most stable structure, expressed in kJ/mol of atoms: entry P 5.4; entry Q 0.0.


Entry P
A plane-wave DFT calculation with PBE-GGA was carried out for a geometry-optimized Pm2Sm7Er2 structure.

Geometry as POSCAR:
```
Pm2Sm7Er2
1.0
3.481 -5.323 0.000
3.481 5.323 0.000
-0.413 0.000 9.993
Pm Sm Er
2 7 2
direct
0.202 0.202 0.287
0.798 0.798 0.713
0.078 0.668 0.149
0.317 0.317 0.634
0.332 0.922 0.851
0.500 0.500 0.000
0.668 0.078 0.149
0.683 0.683 0.366
0.922 0.332 0.851
0.227 0.773 0.500
0.773 0.227 0.500
```


Entry Q
A plane-wave DFT calculation with PBE-GGA was carried out for a geometry-optimized Pm2Sm7Er2 structure.

Geometry as POSCAR:
```
Pm2Sm7Er2
1.0
5.668 -5.804 0.000
5.668 5.804 0.000
-2.356 0.000 5.661
Pm Sm Er
2 7 2
direct
0.214 0.786 0.000
0.786 0.214 0.000
0.000 0.000 0.500
0.059 0.588 0.324
0.412 0.941 0.676
0.414 0.414 0.694
0.586 0.586 0.306
0.588 0.059 0.324
0.941 0.412 0.676
0.233 0.233 0.081
0.767 0.767 0.919
```


Relative energies with respect to the most stable structure, expressed in kJ/mol of atoms: entry P 0.0; entry Q 4.5.